1.
The following is a PBE-GGA calculation of a relaxed Tb2DyThSb4 crystal, from Alexandria.

## Properties
The spin magnetization is 0.0 μB/f.u. The value obtained for the raw formation energy is -1.10 eV/atom.

CIF file:
```
data_Tb2DyThSb4
_cell_length_a 7.6579
_cell_length_b 4.4335
_cell_length_c 7.6625
_cell_angle_alpha 90.00
_cell_angle_beta 109.49
_cell_angle_gamma 90.00
_space_group_name_H-M_alt 'P 1 2/m 1'
_space_group_IT_number 10
_space_group_name_Hall '-P 2y'
loop_
_atom_site_label
_atom_site_type_symbol
_atom_site_fract_x
_atom_site_fract_y
_atom_site_fract_z
Tb1 Tb 0.0000 0.0000 0.0000
Tb2 Tb 0.5000 0.5000 0.0000
Dy1 Dy 0.0000 0.5000 0.5000
Th1 Th 0.5000 0.0000 0.5000
Sb1 Sb 0.2444 0.5000 0.2453
Sb2 Sb 0.2470 0.0000 0.7514
```

2.
The following is a PBE-GGA calculation of a relaxed Tb2DyTm3Sb6 crystal, from Alexandria.

## Properties
The spin magnetization is 0.0 μB/f.u. The value obtained for the raw formation energy is -1.11 eV/atom.

CIF file:
```
data_Tb2DyTm3Sb6
_cell_length_a 19.0232
_cell_length_b 4.3656
_cell_length_c 8.7293
_cell_angle_alpha 90.00
_cell_angle_beta 103.17
_cell_angle_gamma 90.00
_space_group_name_H-M_alt 'C 1 2/m 1'
_space_group_IT_number 12
_space_group_name_Hall '-C 2y'
loop_
_atom_site_label
_atom_site_type_symbol
_atom_site_fract_x
_atom_site_fract_y
_atom_site_fract_z
Tb1 Tb 0.1666 0.0000 0.3330
Dy1 Dy 0.0000 0.5000 0.0000
Tm1 Tm 0.0000 0.5000 0.5000
Tm2 Tm 0.1669 0.0000 0.8332
Sb1 Sb 0.0011 0.0000 0.7483
Sb2 Sb 0.1657 0.5000 0.5857
Sb3 Sb 0.1673 0.5000 0.0803
```

3.
The following is a PBE-GGA calculation of a relaxed Tb2Dy3TmSb6 crystal, from Alexandria.

## Properties
The spin magnetization is 0.0 μB/f.u. The value obtained for the raw formation energy is -1.13 eV/atom.

CIF file:
```
data_Tb2Dy3TmSb6
_cell_length_a 19.0943
_cell_length_b 4.3809
_cell_length_c 8.7620
_cell_angle_alpha 90.00
_cell_angle_beta 103.22
_cell_angle_gamma 90.00
_space_group_name_H-M_alt 'C 1 2/m 1'
_space_group_IT_number 12
_space_group_name_Hall '-C 2y'
loop_
_atom_site_label
_atom_site_type_symbol
_atom_site_fract_x
_atom_site_fract_y
_atom_site_fract_z
Tb1 Tb 0.1663 0.0000 0.3329
Dy1 Dy 0.0000 0.5000 0.5000
Dy2 Dy 0.1673 0.0000 0.8335
Tm1 Tm 0.0000 0.5000 0.0000
Sb1 Sb 0.0007 0.0000 0.7527
Sb2 Sb 0.1656 0.5000 0.0817
Sb3 Sb 0.1665 0.5000 0.5839
```

4.
The following is a PBE-GGA calculation of a relaxed Tb2DyTmSb4 crystal, from Alexandria.

## Properties
The spin magnetization is 0.0 μB/f.u. The value obtained for the raw formation energy is -1.12 eV/atom.

CIF file:
```
data_Tb2DyTmSb4
_cell_length_a 7.5859
_cell_length_b 4.3837
_cell_length_c 7.5877
_cell_angle_alpha 90.00
_cell_angle_beta 109.48
_cell_angle_gamma 90.00
_space_group_name_H-M_alt 'P 1 2/m 1'
_space_group_IT_number 10
_space_group_name_Hall '-P 2y'
loop_
_atom_site_label
_atom_site_type_symbol
_atom_site_fract_x
_atom_site_fract_y
_atom_site_fract_z
Tb1 Tb 0.0000 0.0000 0.0000
Tb2 Tb 0.0000 0.5000 0.5000
Dy1 Dy 0.5000 0.0000 0.5000
Tm1 Tm 0.5000 0.5000 0.0000
Sb1 Sb 0.2523 0.5000 0.2493
Sb2 Sb 0.2535 0.0000 0.7527
```

5.
The following is a PBE-GGA calculation of a relaxed TbDyTm2Sb4 crystal, from Alexandria.

## Properties
The spin magnetization is 0.0 μB/f.u. The value obtained for the raw formation energy is -1.10 eV/atom.

CIF file:
```
data_TbDyTm2Sb4
_cell_length_a 6.1688
_cell_length_b 6.1688
_cell_length_c 12.3514
_cell_angle_alpha 90.00
_cell_angle_beta 90.00
_cell_angle_gamma 90.00
_space_group_name_H-M_alt 'I 4/m m m'
_space_group_IT_number 139
_space_group_name_Hall '-I 4 2'
loop_
_atom_site_label
_atom_site_type_symbol
_atom_site_fract_x
_atom_site_fract_y
_atom_site_fract_z
Tb1 Tb 0.0000 0.0000 0.0000
Dy1 Dy 0.0000 0.0000 0.5000
Tm1 Tm 0.0000 0.5000 0.2500
Sb1 Sb 0.0000 0.0000 0.2505
Sb2 Sb 0.0000 0.5000 0.0000
```

6.
The following is a PBE-GGA calculation of a relaxed TbDy3Tm2Sb6 crystal, from Alexandria.

## Properties
The spin magnetization is 0.0 μB/f.u. The value obtained for the raw formation energy is -1.11 eV/atom.

CIF file:
```
data_TbDy3Tm2Sb6
_cell_length_a 19.0467
_cell_length_b 4.3701
_cell_length_c 8.7402
_cell_angle_alpha 90.00
_cell_angle_beta 103.21
_cell_angle_gamma 90.00
_space_group_name_H-M_alt 'C 1 2/m 1'
_space_group_IT_number 12
_space_group_name_Hall '-C 2y'
loop_
_atom_site_label
_atom_site_type_symbol
_atom_site_fract_x
_atom_site_fract_y
_atom_site_fract_z
Tb1 Tb 0.0000 0.0000 0.0000
Dy1 Dy 0.0000 0.0000 0.5000
Dy2 Dy 0.1661 0.5000 0.8326
Tm1 Tm 0.1669 0.5000 0.3332
Sb1 Sb 0.0011 0.5000 0.2514
Sb2 Sb 0.1672 0.0000 0.0856
Sb3 Sb 0.1674 0.0000 0.5811
```

7.
The following is a PBE-GGA calculation of a relaxed Tb2DyUSb4 crystal, from Alexandria.

## Properties
The spin magnetization is 2.6 μB/f.u. The value obtained for the raw formation energy is -0.90 eV/atom.

CIF file:
```
data_Tb2DyUSb4
_cell_length_a 7.6042
_cell_length_b 4.3708
_cell_length_c 7.6194
_cell_angle_alpha 90.00
_cell_angle_beta 109.08
_cell_angle_gamma 90.00
_space_group_name_H-M_alt 'P 1 2/m 1'
_space_group_IT_number 10
_space_group_name_Hall '-P 2y'
loop_
_atom_site_label
_atom_site_type_symbol
_atom_site_fract_x
_atom_site_fract_y
_atom_site_fract_z
Tb1 Tb 0.0000 0.0000 0.0000
Tb2 Tb 0.0000 0.5000 0.5000
Dy1 Dy 0.5000 0.0000 0.5000
U1 U 0.5000 0.5000 0.0000
Sb1 Sb 0.2503 0.0000 0.7493
Sb2 Sb 0.2525 0.5000 0.2493
```

8.
The following is a PBE-GGA calculation of a relaxed Tb2Dy3YSb6 crystal, from Alexandria.

## Properties
The spin magnetization is 0.0 μB/f.u. The value obtained for the raw formation energy is -1.14 eV/atom.

CIF file:
```
data_Tb2Dy3YSb6
_cell_length_a 19.1415
_cell_length_b 4.3916
_cell_length_c 8.7839
_cell_angle_alpha 90.00
_cell_angle_beta 103.21
_cell_angle_gamma 90.00
_space_group_name_H-M_alt 'C 1 2/m 1'
_space_group_IT_number 12
_space_group_name_Hall '-C 2y'
loop_
_atom_site_label
_atom_site_type_symbol
_atom_site_fract_x
_atom_site_fract_y
_atom_site_fract_z
Tb1 Tb 0.1666 0.0000 0.3330
Dy1 Dy 0.0000 0.5000 0.5000
Dy2 Dy 0.1667 0.0000 0.8332
Y1 Y 0.0000 0.5000 0.0000
Sb1 Sb 0.9997 0.0000 0.2502
Sb2 Sb 0.1664 0.5000 0.5838
Sb3 Sb 0.1668 0.5000 0.0824
```